Entry 1:
TaBe2Ge | PBE | relaxed

formation energy from the elements: -0.15 eV/f.u.
density of states at the Fermi level: 0.3263 states/eV/atom

CIF file:
```
data_TaBe2Ge
_chemical_formula_sum 'Ta1 Be2 Ge1'
_cell_length_a 3.755
_cell_length_b 3.755
_cell_length_c 3.557
_cell_angle_alpha 90.00
_cell_angle_beta 90.00
_cell_angle_gamma 90.00
_space_group_name_H-M_alt 'P 4/m m m'
_space_group_IT_number 123
_space_group_name_Hall '-P 4 2'
loop_
_atom_site_label
_atom_site_type_symbol
_atom_site_fract_x
_atom_site_fract_y
_atom_site_fract_z
Ta1 Ta 0.000 0.000 0.000
Be1 Be 0.000 0.500 0.500
Ge1 Ge 0.500 0.500 0.000
```

Entry 2:
Ga2Se3 | PBE | relaxed

E_form (uncorrected): -489 meV per atom

CIF file:
```
data_Ga2Se3
_chemical_formula_sum 'Ga8 Se12'
_cell_length_a 15.439
_cell_length_b 3.831
_cell_length_c 10.341
_cell_angle_alpha 90.00
_cell_angle_beta 99.67
_cell_angle_gamma 90.00
_space_group_name_H-M_alt 'C 1 2/m 1'
_space_group_IT_number 12
loop_
_space_group_symop_operation_xyz
'x,y,z'
'-x,-y,-z'
'-x,y,-z'
'x,-y,z'
'x+1/2,y+1/2,z'
'-x+1/2,-y+1/2,-z'
'-x+1/2,y+1/2,-z'
'x+1/2,-y+1/2,z'
loop_
_atom_site_label
_atom_site_type_symbol
_atom_site_fract_x
_atom_site_fract_y
_atom_site_fract_z
Ga1 Ga 0.136 0.000 0.322
Ga2 Ga 0.210 0.500 0.876
Se1 Se 0.044 0.500 0.302
Se2 Se 0.141 0.000 0.976
Se3 Se 0.208 0.500 0.647
```

Entry 3:
NaTlHPd2 | PBE | relaxed

energy above the most stable polymorph in this dataset: 0.171 eV/atom
density of states at the Fermi level: 0.3309 states/eV/atom

CIF file:
```
data_NaTlHPd2
_chemical_formula_sum 'Na1 Tl1 H1 Pd2'
_cell_length_a 4.091
_cell_length_b 4.091
_cell_length_c 4.784
_cell_angle_alpha 90.00
_cell_angle_beta 90.00
_cell_angle_gamma 90.00
_space_group_name_H-M_alt 'P 4/m m m'
_space_group_IT_number 123
_space_group_name_Hall '-P 4 2'
loop_
_atom_site_label
_atom_site_type_symbol
_atom_site_fract_x
_atom_site_fract_y
_atom_site_fract_z
Na1 Na 0.000 0.000 0.000
Tl1 Tl 0.500 0.500 0.000
H1 H 0.500 0.500 0.500
Pd1 Pd 0.000 0.500 0.500
```

Entry 4:
PmTe2Rh | PBE | relaxed

E_form (uncorrected): -325 meV per atom
density of states at the Fermi level: 0.6516 states/eV/atom

CIF file:
```
data_PmTe2Rh
_chemical_formula_sum 'Pm3 Te6 Rh3'
_cell_length_a 3.9491
_cell_length_b 3.9491
_cell_length_c 27.1462
_cell_angle_alpha 90.00
_cell_angle_beta 90.00
_cell_angle_gamma 120.00
_space_group_name_H-M_alt 'R -3 m'
_space_group_IT_number 166
_space_group_name_Hall '-R 3 2"'
loop_
_atom_site_label
_atom_site_type_symbol
_atom_site_fract_x
_atom_site_fract_y
_atom_site_fract_z
Pm1 Pm 0.0000 0.0000 0.0000
Te1 Te 0.0000 0.0000 0.1151
Rh1 Rh 0.0000 0.0000 0.5000
```

Entry 5:
Co2ReN | PBE | relaxed

E_form (uncorrected): 536 meV per atom
density of states at the Fermi level: 1.0034 states/eV/atom

CIF file:
```
data_Co2ReN
_chemical_formula_sum 'Co6 Re3 N3'
_cell_length_a 2.6983
_cell_length_b 2.6983
_cell_length_c 21.5818
_cell_angle_alpha 90.00
_cell_angle_beta 90.00
_cell_angle_gamma 120.00
_space_group_name_H-M_alt 'R -3 m'
_space_group_IT_number 166
_space_group_name_Hall '-R 3 2"'
loop_
_atom_site_label
_atom_site_type_symbol
_atom_site_fract_x
_atom_site_fract_y
_atom_site_fract_z
Co1 Co 0.0000 0.0000 0.1155
Re1 Re 0.0000 0.0000 0.0000
N1 N 0.0000 0.0000 0.5000
```

Entry 6:
NbFe2Ir2 | PBE | relaxed

formation energy from the elements: 0.40 eV/f.u.
energy above the most stable polymorph in this dataset: 0.210 eV/atom
density of states at the Fermi level: 1.1601 states/eV/atom

CIF file:
```
data_NbFe2Ir2
_chemical_formula_sum 'Nb2 Fe4 Ir4'
_cell_length_a 3.438
_cell_length_b 3.438
_cell_length_c 12.766
_cell_angle_alpha 90.00
_cell_angle_beta 90.00
_cell_angle_gamma 90.00
_space_group_name_H-M_alt 'I 4/m m m'
_space_group_IT_number 139
_space_group_name_Hall '-I 4 2'
loop_
_atom_site_label
_atom_site_type_symbol
_atom_site_fract_x
_atom_site_fract_y
_atom_site_fract_z
Nb1 Nb 0.000 0.000 0.000
Fe1 Fe 0.000 0.500 0.250
Ir1 Ir 0.000 0.000 0.397
```

Entry 7:
LaHg2H | PBE | relaxed

energy above the most stable polymorph in this dataset: 0.000 eV/atom
density of states at the Fermi level: 0.6736 states/eV/atom

CIF file:
```
data_LaHg2H
_chemical_formula_sum 'La4 Hg8 H4'
_cell_length_a 9.238
_cell_length_b 9.238
_cell_length_c 4.506
_cell_angle_alpha 90.00
_cell_angle_beta 90.00
_cell_angle_gamma 90.00
_space_group_name_H-M_alt 'I -4 2 d'
_space_group_IT_number 122
_space_group_name_Hall 'I -4 2bw'
loop_
_atom_site_label
_atom_site_type_symbol
_atom_site_fract_x
_atom_site_fract_y
_atom_site_fract_z
La1 La 0.000 0.000 0.000
Hg1 Hg 0.150 0.250 0.625
H1 H 0.000 0.000 0.500
```

Entry 8:
Li2CrCu | PBE | relaxed

formation energy from the elements: 1.52 eV/f.u.
energy above the most stable polymorph in this dataset: 0.116 eV/atom
density of states at the Fermi level: 0.4276 states/eV/atom

CIF file:
```
data_Li2CrCu
_chemical_formula_sum 'Li8 Cr4 Cu4'
_cell_length_a 6.139
_cell_length_b 6.139
_cell_length_c 6.139
_cell_angle_alpha 90.00
_cell_angle_beta 90.00
_cell_angle_gamma 90.00
_space_group_name_H-M_alt 'F m -3 m'
_space_group_IT_number 225
_space_group_name_Hall '-F 4 2 3'
loop_
_atom_site_label
_atom_site_type_symbol
_atom_site_fract_x
_atom_site_fract_y
_atom_site_fract_z
Li1 Li 0.250 0.250 0.250
Cr1 Cr 0.000 0.000 0.000
Cu1 Cu 0.000 0.000 0.500
```

Entry 9:
NiMoPt2 | PBE | relaxed

formation energy from the elements: -1.04 eV/f.u.
energy above the most stable polymorph in this dataset: 0.036 eV/atom
density of states at the Fermi level: 0.7880 states/eV/atom

CIF file:
```
data_NiMoPt2
_chemical_formula_sum 'Ni1 Mo1 Pt2'
_cell_length_a 2.758
_cell_length_b 3.886
_cell_length_c 5.397
_cell_angle_alpha 90.00
_cell_angle_beta 90.00
_cell_angle_gamma 90.00
_space_group_name_H-M_alt 'P m m m'
_space_group_IT_number 47
loop_
_space_group_symop_operation_xyz
'x,y,z'
'-x,-y,-z'
'-x,-y,z'
'x,y,-z'
'x,-y,-z'
'-x,y,z'
'-x,y,-z'
'x,-y,z'
loop_
_atom_site_label
_atom_site_type_symbol
_atom_site_fract_x
_atom_site_fract_y
_atom_site_fract_z
Ni1 Ni 0.000 0.000 0.000
Mo1 Mo 0.000 0.000 0.500
Pt1 Pt 0.500 0.500 0.247
```

Entry 10:
Sb2As | PBE | relaxed

E_form (uncorrected): 270 meV per atom
energy above the most stable polymorph in this dataset: 0.203 eV/atom
density of states at the Fermi level: 0.6267 states/eV/atom

CIF file:
```
data_Sb2As
_chemical_formula_sum 'Sb4 As2'
_cell_length_a 3.705
_cell_length_b 3.705
_cell_length_c 10.964
_cell_angle_alpha 90.00
_cell_angle_beta 90.00
_cell_angle_gamma 90.00
_space_group_name_H-M_alt 'I 4/m m m'
_space_group_IT_number 139
_space_group_name_Hall '-I 4 2'
loop_
_atom_site_label
_atom_site_type_symbol
_atom_site_fract_x
_atom_site_fract_y
_atom_site_fract_z
Sb1 Sb 0.000 0.000 0.144
As1 As 0.000 0.000 0.500
```

Entry 11:
YBiC | PBE | relaxed

formation energy from the elements: -0.06 eV/f.u.
density of states at the Fermi level: 0.6940 states/eV/atom

CIF file:
```
data_YBiC
_chemical_formula_sum 'Y4 Bi4 C4'
_cell_length_a 4.127
_cell_length_b 4.366
_cell_length_c 17.094
_cell_angle_alpha 90.00
_cell_angle_beta 90.00
_cell_angle_gamma 90.00
_space_group_name_H-M_alt 'I m m m'
_space_group_IT_number 71
_space_group_name_Hall '-I 2 2'
loop_
_atom_site_label
_atom_site_type_symbol
_atom_site_fract_x
_atom_site_fract_y
_atom_site_fract_z
Y1 Y 0.000 0.000 0.110
Bi1 Bi 0.000 0.000 0.310
C1 C 0.000 0.356 0.000
```

Entry 12:
FeIr2I2 | PBE | relaxed

E_form (uncorrected): 907 meV per atom
energy above the most stable polymorph in this dataset: 0.000 eV/atom
density of states at the Fermi level: 0.7365 states/eV/atom

CIF file:
```
data_FeIr2I2
_chemical_formula_sum 'Fe2 Ir4 I4'
_cell_length_a 6.838
_cell_length_b 6.838
_cell_length_c 4.327
_cell_angle_alpha 90.00
_cell_angle_beta 90.00
_cell_angle_gamma 90.00
_space_group_name_H-M_alt 'P 4/m b m'
_space_group_IT_number 127
_space_group_name_Hall '-P 4 2ab'
loop_
_atom_site_label
_atom_site_type_symbol
_atom_site_fract_x
_atom_site_fract_y
_atom_site_fract_z
Fe1 Fe 0.000 0.000 0.000
Ir1 Ir 0.137 0.363 0.000
I1 I 0.187 0.687 0.500
```

Please write out number 10 again, unchanged.
Sb2As | PBE | relaxed

E_form (uncorrected): 270 meV per atom
energy above the most stable polymorph in this dataset: 0.203 eV/atom
density of states at the Fermi level: 0.6267 states/eV/atom

CIF file:
```
data_Sb2As
_chemical_formula_sum 'Sb4 As2'
_cell_length_a 3.705
_cell_length_b 3.705
_cell_length_c 10.964
_cell_angle_alpha 90.00
_cell_angle_beta 90.00
_cell_angle_gamma 90.00
_space_group_name_H-M_alt 'I 4/m m m'
_space_group_IT_number 139
_space_group_name_Hall '-I 4 2'
loop_
_atom_site_label
_atom_site_type_symbol
_atom_site_fract_x
_atom_site_fract_y
_atom_site_fract_z
Sb1 Sb 0.000 0.000 0.144
As1 As 0.000 0.000 0.500
```